# 1
# KLi2InCl6, optimized geometry, DFT GGA-PBE
data_KLi2InCl6
_chemical_formula_sum 'K1 Li2 In1 Cl6'
_cell_length_a 6.785
_cell_length_b 6.786
_cell_length_c 7.386
_cell_angle_alpha 89.99
_cell_angle_beta 62.67
_cell_angle_gamma 60.05
_symmetry_space_group_name_H-M 'P 1'
_symmetry_Int_Tables_number 1
loop_
_symmetry_equiv_pos_as_xyz
'x,y,z'
loop_
_atom_site_label
_atom_site_fract_x
_atom_site_fract_y
_atom_site_fract_z
K1 0.000 0.000 0.000
Li1 0.559 0.721 0.161
Li2 0.584 0.208 0.623
In1 0.961 0.519 0.559
Cl1 0.106 0.534 0.822
Cl2 0.107 0.771 0.352
Cl3 0.419 0.122 0.352
Cl4 0.538 0.927 0.822
Cl5 0.713 0.360 0.822
Cl6 0.769 0.460 0.352
# - Formation energy from raw total energies: -1.54 eV per atom
# - Size of the total moment: 0.0 μB/f.u.
# - V: 249.9 Å³/cell
# - Uncorrected energy: -3.413 eV/atom

# 2
# RbNaCe2S4, optimized geometry, DFT GGA-PBE
data_RbNaCe2S4
_chemical_formula_sum 'Rb4 Na4 Ce8 S16'
_cell_length_a 8.425
_cell_length_b 8.637
_cell_length_c 12.113
_cell_angle_alpha 90.00
_cell_angle_beta 90.00
_cell_angle_gamma 90.00
_symmetry_space_group_name_H-M 'I m m a'
_symmetry_Int_Tables_number 74
_symmetry_space_group_name_Hall '-I 2b 2'
loop_
_atom_site_label
_atom_site_fract_x
_atom_site_fract_y
_atom_site_fract_z
Rb1 0.250 0.250 0.250
Na1 0.000 0.000 0.000
Ce1 0.000 0.000 0.500
Ce2 0.250 0.250 0.750
S1 0.000 0.032 0.738
S2 0.231 0.250 0.515
# - Formation energy from raw total energies: -1.71 eV per atom
# - Size of the total moment: 2.0 μB/f.u.
# - V: 881.4 Å³/cell
# - Uncorrected energy: -5.539 eV/atom

# 3
# Li5Mg2Hg2Pb, optimized geometry, DFT GGA-PBE
data_Li5Mg2Hg2Pb
_chemical_formula_sum 'Li10 Mg4 Hg4 Pb2'
_cell_length_a 10.411
_cell_length_b 10.411
_cell_length_c 3.793
_cell_angle_alpha 90.00
_cell_angle_beta 90.00
_cell_angle_gamma 90.00
_symmetry_space_group_name_H-M 'P 4/m b m'
_symmetry_Int_Tables_number 127
_symmetry_space_group_name_Hall '-P 4 2ab'
loop_
_atom_site_label
_atom_site_fract_x
_atom_site_fract_y
_atom_site_fract_z
Li1 0.000 0.500 0.000
Li2 0.071 0.199 0.000
Mg1 0.171 0.671 0.500
Hg1 0.126 0.374 0.500
Pb1 0.000 0.000 0.500
# - Size of the total moment: 0.0 μB/f.u.
# - V: 411.1 Å³/cell
# - Uncorrected energy: -1.920 eV/atom